The following is a GGA-PBE calculation of CsZnCd2Pt after structural relaxation, from the Alexandria database.

```
data_CsZnCd2Pt
_symmetry_space_group_name_H-M 'P 1'
_symmetry_Int_Tables_number 1
_cell_length_a 5.398
_cell_length_b 5.398
_cell_length_c 5.082
_cell_angle_alpha 90.00
_cell_angle_beta 90.00
_cell_angle_gamma 90.00
loop_
_symmetry_equiv_pos_as_xyz
'x,y,z'
loop_
_atom_site_label
_atom_site_type_symbol
_atom_site_fract_x
_atom_site_fract_y
_atom_site_fract_z
_atom_site_occupancy
Cs1 Cs 0.000 0.000 0.000 1
Zn1 Zn 0.500 0.500 0.000 1
Cd1 Cd 0.000 0.500 0.500 1
Cd2 Cd 0.500 0.000 0.500 1
Pt1 Pt 0.500 0.500 0.500 1
```

## Properties
formation energy = -1.2 eV per formula unit
final energy = -2.241 eV/atom